First-principles (PBE-GGA) data for a geometry-optimized Pu6AsRh5 structure, as listed in Alexandria via LeMat-Bulk.

POSCAR file:
```
Pu6AsRh5
1.0
4.6563 0.0000 0.0000
0.0112 7.0270 0.0000
1.3452 0.0035 7.3960
Pu As Rh
6 1 5
direct
0.0006 0.2398 0.0005
0.2882 0.2508 0.3312
0.2879 0.7498 0.3312
0.7121 0.2502 0.6688
0.7118 0.7492 0.6688
0.9994 0.7602 0.9995
0.5000 0.5000 0.0000
0.2237 0.0003 0.6557
0.2349 0.4995 0.6542
0.5000 0.0000 0.0000
0.7651 0.5005 0.3458
0.7763 0.9997 0.3443
```

## Properties
**Final energy**: -11.04 eV per atom
**Space-group type**: P-1, No. 2
**Energy relative to the elements**: -40.60 kJ per mole of atoms
**ρ**: 14.090 g cm⁻³
**M_tot**: 9.54 μB/f.u.